[1]
This record from Alexandria via LeMat-Bulk describes an optimized crystal structure of LiTb2Hg4Pb. The functional is PBE.

The structure belongs to space group R-3m (No. 166, hexagonal axes); the cell edges are 5.1631, 5.1631 and 25.1358 Å and the angles 90.00°, 90.00° and 120.00°. Symmetry generates all atoms from Li at (0.0000, 0.0000, 0.0000), Tb at (0.0000, 0.0000, 0.2449), Hg at (0.0000, 0.0000, 0.1128), Hg at (0.0000, 0.0000, 0.3660) and Pb at (0.0000, 0.0000, 0.5000).

The density of states at the Fermi level is 2.53 states/eV/f.u. The calculation puts the formation energy at -304 kJ/mol of formula units. The calculation puts the total magnetization at 0.00 μB/f.u. The calculation puts the calculated volume at 580.3 Å³ per cell.


[2]
This record from Alexandria via LeMat-Bulk describes an optimized crystal structure of Dy3Mg9Pd2. The functional is PBE.

The structure belongs to space group Immm (No. 71); the cell edges are 4.916, 10.826 and 12.107 Å and the angles 90.00°, 90.00° and 90.00°. Symmetry generates all atoms from Dy at (0.000, 0.000, 0.000), Dy at (0.000, 0.000, 0.297), Mg at (0.000, 0.278, 0.132), Mg at (0.000, 0.364, 0.368), Mg at (0.000, 0.500, 0.000) and Pd at (0.000, 0.150, 0.500).

The density of states at the Fermi level is 12.27 states/eV/f.u. The calculation puts the formation energy at -319 kJ/mol of formula units. The calculation puts the total magnetization at 0.00 μB/f.u. The calculation puts the calculated volume at 644.3 Å³ per cell.